! Tl3Au4 (SCAN, single point on PBEsol structure); values from VASP
&SYSTEM
  ibrav = 0, nat = 7, ntyp = 2
/
ATOMIC_SPECIES
Tl 204.38 Tl.upf
Au 196.97 Au.upf
CELL_PARAMETERS angstrom
-1.731 1.731 12.534
1.731 -1.731 12.534
1.731 1.731 -12.534
ATOMIC_POSITIONS angstrom
Tl 0.000 0.000 0.000
Tl 0.000 0.000 7.540
Tl 0.000 0.000 17.528
Au 0.000 0.000 3.203
Au 0.000 0.000 10.712
Au 0.000 0.000 14.355
Au 0.000 0.000 21.864
! - Formation energy from the elements: 30.7 kJ/mol of formula units
! - SG: I4/mmm
! - DFT total energy: -493.385 eV for the cell shown
! - DOS(E_F): 2.48 states/eV/cell